This record from Alexandria via LeMat-Bulk describes crystalline CdInCu6 at its relaxed geometry. The functional is PBE.

Computed properties:
size of the total moment	0.00	Bohr magnetons per cell
DFT formation energy	0.032	eV per atom
DFT total energy	-3.50	eV/atom

abc: 4.3792 5.7240 9.1070
angles: 90.00 90.00 90.00
Space group Amm2 (No. 38)
Inequivalent atoms, fractional coordinates:
Cd  0.0000  0.0000  0.0000 x2
In  0.5000  0.0000  0.6943 x2
Cu  0.0000  0.0000  0.5067 x2
Cu  0.0000  0.2236  0.2607 x4
Cu  0.5000  0.0000  0.1872 x2
Cu  0.5000  0.2240  0.4329 x4

---

This record from Alexandria via LeMat-Bulk describes crystalline Ba2Ga2HgS6 at its relaxed geometry. The functional is PBE.

Computed properties:
raw formation energy	-985.5	kJ/mol of formula units
size of the total moment	0.00	Bohr magnetons per cell
DFT total energy	-4.11	eV/atom

abc: 7.0952 7.0952 21.9243
angles: 90.00 90.00 120.00
Space group R-3m (No. 166, hexagonal axes)
Inequivalent atoms, fractional coordinates:
Ba  0.0000  0.0000  0.2130 x6
Ga  0.0000  0.0000  0.4233 x6
Hg  0.0000  0.0000  0.0000 x3
S  0.0226  0.5113  0.7581 x18

---

This record from Alexandria via LeMat-Bulk describes crystalline CsK2HgS2 at its relaxed geometry. The functional is PBE.

Computed properties:
raw formation energy	-419.2	kJ/mol of formula units
size of the total moment	0.00	Bohr magnetons per cell
DFT total energy	-2.66	eV/atom

abc: 7.4058 13.7235 5.0752
angles: 90.00 90.00 90.00
Space group Pnnm (No. 58)
Inequivalent atoms, fractional coordinates:
Cs  0.0000  0.0000  0.0000 x2
K  0.0673  0.2844  0.5000 x4
Hg  0.0000  0.5000  0.0000 x2
S  0.2504  0.3686  0.0000 x4

---

This record from Alexandria via LeMat-Bulk describes crystalline BaZn2F6 at its relaxed geometry. The functional is PBE.

Computed properties:
raw formation energy	-2480.0	kJ/mol of formula units
size of the total moment	0.00	Bohr magnetons per cell
DFT total energy	-4.60	eV/atom

abc: 5.4800 5.4800 5.6115
angles: 90.00 90.00 120.00
Space group P-31m (No. 162)
Inequivalent atoms, fractional coordinates:
Ba  0.0000  0.0000  0.0000 x1
Zn  0.3333  0.6667  0.5000 x2
F  0.0000  0.3786  0.7061 x6

---

This record from Alexandria via LeMat-Bulk describes crystalline Ni3PtSe6 at its relaxed geometry. The functional is PBE.

Computed properties:
raw formation energy	-150.7	kJ/mol of formula units
size of the total moment	0.00	Bohr magnetons per cell
DFT total energy	-4.59	eV/atom

abc: 6.2347 6.2740 6.4500
angles: 84.34 62.22 62.03
Space group P-1 (No. 2)
Inequivalent atoms, fractional coordinates:
Ni  0.0000  0.0000  0.0000 x1
Ni  0.1089  0.8307  0.6120 x2
Pt  0.0000  0.5000  0.5000 x1
Se  0.1326  0.3004  0.0702 x2
Se  0.2221  0.7455  0.2256 x2
Se  0.4829  0.8298  0.6118 x2

---

This record from Alexandria via LeMat-Bulk describes crystalline KCr3 at its relaxed geometry. The functional is PBE.

Computed properties:
size of the total moment	0.01	Bohr magnetons per cell
DFT formation energy	2.079	eV per atom
DFT total energy	-5.41	eV/atom

abc: 4.9404 4.9404 4.9404
angles: 90.00 90.00 90.00
Space group Pm-3n (No. 223)
Inequivalent atoms, fractional coordinates:
K  0.0000  0.0000  0.0000 x2
Cr  0.0000  0.2500  0.5000 x6

---

This record from Alexandria via LeMat-Bulk describes crystalline CeAgBr6 at its relaxed geometry. The functional is PBE.

Computed properties:
raw formation energy	-766.3	kJ/mol of formula units
size of the total moment	0.32	Bohr magnetons per cell
DFT total energy	-3.35	eV/atom

abc: 6.6670 7.1812 7.4062
angles: 62.68 89.74 64.52
Space group P-1 (No. 2)
Inequivalent atoms, fractional coordinates:
Ce  0.0000  0.0000  0.0000 x1
Ag  0.5000  0.0000  0.5000 x1
Br  0.0588  0.5473  0.2292 x2
Br  0.2663  0.8259  0.7553 x2
Br  0.4150  0.8372  0.2705 x2

---

This record from Alexandria via LeMat-Bulk describes crystalline HfTi4S8 at its relaxed geometry. The functional is PBE.

Computed properties:
raw formation energy	-1794.0	kJ/mol of formula units
size of the total moment	0.00	Bohr magnetons per cell
DFT total energy	-7.17	eV/atom

abc: 6.8767 6.8767 17.8446
angles: 90.00 90.00 120.00
Space group R-3m (No. 166, hexagonal axes)
Inequivalent atoms, fractional coordinates:
Hf  0.0000  0.0000  0.0000 x3
Ti  0.0000  0.0000  0.5000 x3
Ti  0.0000  0.5000  0.5000 x9
S  0.0000  0.0000  0.2444 x6
S  0.0062  0.5031  0.2492 x18

---

This record from Alexandria via LeMat-Bulk describes crystalline K2LaAu at its relaxed geometry. The functional is PBE.

Computed properties:
size of the total moment	0.00	Bohr magnetons per cell
DFT formation energy	-0.217	eV per atom
DFT total energy	-2.82	eV/atom

abc: 3.9828 3.9799 11.0261
angles: 90.00 90.12 90.00
Space group Pm (No. 6)
Inequivalent atoms, fractional coordinates:
K  0.0000  0.0000  0.0000 x1
K  0.4944  0.5000  0.3560 x1
La  0.4948  0.5000  0.6911 x1
Au  0.9945  0.0000  0.5760 x1

---

This record from Alexandria via LeMat-Bulk describes crystalline TbSm2Y6 at its relaxed geometry. The functional is PBE.

Computed properties:
size of the total moment	0.00	Bohr magnetons per cell
DFT formation energy	0.102	eV per atom
DFT total energy	-5.77	eV/atom

abc: 12.9004 14.3239 6.5893
angles: 90.00 103.61 90.00
Space group C2/c (No. 15)
Inequivalent atoms, fractional coordinates:
Tb  0.0000  0.1186  0.2500 x4
Sm  0.1403  0.4757  0.3710 x8
Y  0.0364  0.3127  0.0045 x8
Y  0.1345  0.0871  0.8131 x8
Y  0.2400  0.3004  0.7272 x8

---

This record from Alexandria via LeMat-Bulk describes crystalline LiGaSn2Cl6 at its relaxed geometry. The functional is PBE.

Computed properties:
raw formation energy	-1044.7	kJ/mol of formula units
size of the total moment	0.00	Bohr magnetons per cell
DFT total energy	-3.49	eV/atom

abc: 7.2898 7.3097 7.7334
angles: 90.14 118.02 119.86
Space group P1 (No. 1)
Inequivalent atoms, fractional coordinates:
Li  0.0000  0.0000  0.0000 x1
Ga  0.9874  0.4931  0.4827 x1
Sn  0.3706  0.6844  0.0575 x1
Sn  0.3762  0.1867  0.5657 x1
Cl  0.1608  0.2806  0.8165 x1
Cl  0.1981  0.3719  0.2986 x1
Cl  0.4741  0.0980  0.2982 x1
Cl  0.5347  0.8781  0.8178 x1
Cl  0.9248  0.8247  0.3002 x1
Cl  0.9375  0.6550  0.8185 x1

---

This record from Alexandria via LeMat-Bulk describes crystalline Rb2TbGaTe4 at its relaxed geometry. The functional is PBE.

Computed properties:
raw formation energy	-734.4	kJ/mol of formula units
size of the total moment	0.00	Bohr magnetons per cell
DFT total energy	-3.72	eV/atom

abc: 9.0352 9.0352 7.4476
angles: 90.00 90.00 90.00
Space group I-42m (No. 121)
Inequivalent atoms, fractional coordinates:
Rb  0.0000  0.5000  0.0000 x4
Tb  0.0000  0.0000  0.0000 x2
Ga  0.0000  0.0000  0.5000 x2
Te  0.1679  0.1679  0.2793 x8

---

Number 1: volume 228 Å³/cell. Number 2: volume 956 Å³/cell. Number 3: volume 516 Å³/cell. Number 4: volume 146 Å³/cell. Number 5: volume 195 Å³/cell. Number 6: volume 121 Å³/cell. Number 7: volume 276 Å³/cell. Number 8: volume 731 Å³/cell. Number 9: volume 175 Å³/cell. Number 10: volume 1183 Å³/cell. Number 11: volume 300 Å³/cell. Number 12: volume 608 Å³/cell.